Zr5Tl3S12, relaxed, DFT PBE; V = 27.012 Å³/atom; formation energy (no corrections) = -1058 meV/atom; magnetization = 0.00 μB per formula unit; final energy = -0.443 Ry/atom
1.0
-6.521 -10.881 6.171
10.185 -4.821 -8.487
5.663 8.312 9.891
Tl Zr S
12 20 48
direct
0.750 0.375 0.125 Tl
0.875 0.750 0.125 Tl
0.375 0.750 0.625 Tl
0.250 0.125 0.375 Tl
0.875 0.125 0.250 Tl
0.375 0.625 0.250 Tl
0.625 0.375 0.750 Tl
0.125 0.875 0.750 Tl
0.750 0.875 0.625 Tl
0.625 0.250 0.375 Tl
0.125 0.250 0.875 Tl
0.250 0.625 0.875 Tl
0.125 0.375 0.250 Zr
0.000 0.500 0.000 Zr
0.000 0.000 0.000 Zr
0.375 0.250 0.125 Zr
0.500 0.000 0.500 Zr
0.500 0.500 0.000 Zr
0.125 0.750 0.375 Zr
0.750 0.125 0.875 Zr
0.750 0.625 0.375 Zr
0.375 0.125 0.750 Zr
0.625 0.875 0.250 Zr
0.500 0.500 0.500 Zr
0.500 0.000 0.000 Zr
0.000 0.000 0.500 Zr
0.250 0.375 0.625 Zr
0.250 0.875 0.125 Zr
0.000 0.500 0.500 Zr
0.875 0.250 0.625 Zr
0.625 0.750 0.875 Zr
0.875 0.625 0.750 Zr
0.699 0.111 0.020 S
0.321 0.520 0.409 S
0.980 0.389 0.301 S
0.520 0.199 0.111 S
0.588 0.699 0.679 S
0.980 0.591 0.179 S
0.321 0.801 0.412 S
0.091 0.912 0.111 S
0.591 0.980 0.679 S
0.699 0.588 0.179 S
0.801 0.480 0.389 S
0.821 0.909 0.020 S
0.111 0.699 0.520 S
0.389 0.409 0.088 S
0.088 0.909 0.389 S
0.412 0.111 0.591 S
0.088 0.179 0.199 S
0.480 0.679 0.091 S
0.821 0.912 0.301 S
0.111 0.412 0.091 S
0.389 0.980 0.801 S
0.591 0.611 0.412 S
0.909 0.821 0.520 S
0.801 0.321 0.912 S
0.409 0.389 0.588 S
0.091 0.179 0.480 S
0.199 0.679 0.088 S
0.179 0.088 0.699 S
0.611 0.020 0.199 S
0.889 0.588 0.909 S
0.520 0.321 0.909 S
0.588 0.889 0.409 S
0.912 0.821 0.801 S
0.912 0.091 0.611 S
0.889 0.301 0.480 S
0.179 0.091 0.980 S
0.611 0.591 0.912 S
0.409 0.020 0.321 S
0.301 0.412 0.821 S
0.199 0.520 0.611 S
0.909 0.088 0.889 S
0.679 0.199 0.588 S
0.480 0.801 0.889 S
0.020 0.409 0.821 S
0.412 0.301 0.321 S
0.020 0.611 0.699 S
0.679 0.480 0.591 S
0.301 0.889 0.980 S